Version P
## TaReSe2 (PBE-GGA)

Data for an optimized crystal structure of TaReSe2.

**Magnetic moment**: 0.0 μB/f.u.
**DOS at the Fermi energy**: 0.633 states/eV/atom

a = 3.0531 Å, b = 5.6492 Å, c = 8.3108 Å
α = 90.00°, β = 90.00°, γ = 90.00°
Last column: nearest neighbours and their distance in Å.
Space group Cmmm (No. 65)
Symmetry-distinct sites (fractional):
1 Ta 0.0000 0.0000 0.0000 x2  4 Se 2.63
2 Re 0.0000 0.0000 0.5000 x2  4 Se 2.53
3 Se 0.0000 0.5000 0.2576 x4  2 Re 2.53, 2 Ta 2.63



Version Q
## TaReSe2 (PBE-GGA)

Data for an optimized crystal structure of TaReSe2.

**Magnetic moment**: 0.9 μB/f.u.
**DOS at the Fermi energy**: 1.437 states/eV/atom

a = 6.5465 Å, b = 6.5465 Å, c = 6.5465 Å
α = 90.00°, β = 90.00°, γ = 90.00°
Last column: nearest neighbours and their distance in Å.
Space group F-43m (No. 216)
Symmetry-distinct sites (fractional):
1 Ta 0.0000 0.0000 0.0000 x4  4 Se 2.83, 4 Re 2.83
2 Re 0.2500 0.2500 0.7500 x4  4 Ta 2.83, 4 Se 2.83
3 Se 0.0000 0.0000 0.5000 x4  4 Re 2.83, 4 Se 2.83
4 Se 0.2500 0.2500 0.2500 x4  4 Se 2.83, 4 Ta 2.83



Energies relative to the minimum, eV/atom: version P 0.000; version Q 0.072



Version P
## TaReSe3 (PBE-GGA)

Data for an optimized crystal structure of TaReSe3.

**Magnetic moment**: 5.7 μB/f.u.
**DOS at the Fermi energy**: 0.609 states/eV/atom

a = 5.0423 Å, b = 5.0423 Å, c = 5.0423 Å
α = 90.00°, β = 90.00°, γ = 90.00°
Last column: nearest neighbours and their distance in Å.
Space group Pm-3m (No. 221)
Symmetry-distinct sites (fractional):
1 Ta 0.0000 0.0000 0.0000 x1  6 Se 2.52
2 Re 0.5000 0.5000 0.5000 x1  12 Se 3.57
3 Se 0.0000 0.0000 0.5000 x3  2 Ta 2.52



Version Q
## TaReSe3 (PBE-GGA)

Data for an optimized crystal structure of TaReSe3.

**Magnetic moment**: 2.6 μB/f.u.
**DOS at the Fermi energy**: 1.415 states/eV/atom

a = 4.8385 Å, b = 4.8385 Å, c = 4.8385 Å
α = 90.00°, β = 90.00°, γ = 90.00°
Last column: nearest neighbours and their distance in Å.
Space group Pm-3m (No. 221)
Symmetry-distinct sites (fractional):
1 Ta 0.0000 0.0000 0.0000 x1  12 Se 3.42
2 Re 0.5000 0.5000 0.5000 x1  6 Se 2.42
3 Se 0.0000 0.5000 0.5000 x3  2 Re 2.42



Energies relative to the minimum, eV/atom: version P 0.000; version Q 0.155



Version P
## TaRe3Se (PBE-GGA)

Data for an optimized crystal structure of TaRe3Se.

**Magnetic moment**: 0.0 μB/f.u.
**DOS at the Fermi energy**: 1.116 states/eV/atom

a = 4.4955 Å, b = 4.4955 Å, c = 4.4955 Å
α = 90.00°, β = 90.00°, γ = 90.00°
Last column: nearest neighbours and their distance in Å.
Space group Pm-3m (No. 221)
Symmetry-distinct sites (fractional):
1 Ta 0.0000 0.0000 0.0000 x1  12 Re 3.18
2 Re 0.0000 0.5000 0.5000 x3  2 Se 2.25
3 Se 0.5000 0.5000 0.5000 x1  6 Re 2.25



Version Q
## TaRe3Se (PBE-GGA)

Data for an optimized crystal structure of TaRe3Se.

**Magnetic moment**: 1.7 μB/f.u.
**DOS at the Fermi energy**: 1.131 states/eV/atom

a = 4.8005 Å, b = 4.8005 Å, c = 4.8005 Å
α = 90.00°, β = 90.00°, γ = 90.00°
Last column: nearest neighbours and their distance in Å.
Space group Pm-3m (No. 221)
Symmetry-distinct sites (fractional):
1 Ta 0.0000 0.0000 0.0000 x1  6 Re 2.40
2 Re 0.0000 0.0000 0.5000 x3  2 Ta 2.40
3 Se 0.5000 0.5000 0.5000 x1  12 Re 3.39



Energies relative to the minimum, eV/atom: version P 0.000; version Q 1.019



Version P
## Ta2ReSe2 (PBE-GGA)

Data for an optimized crystal structure of Ta2ReSe2.

**Magnetic moment**: 0.0 μB/f.u.
**DOS at the Fermi energy**: 0.565 states/eV/atom

a = 7.2736 Å, b = 7.2736 Å, c = 3.3040 Å
α = 90.00°, β = 90.00°, γ = 90.00°
Last column: nearest neighbours and their distance in Å.
Space group P4/mbm (No. 127)
Symmetry-distinct sites (fractional):
1 Ta 0.1537 0.3463 0.0000 x4  6 Se 2.65-2.73, 2 Re 2.76
2 Re 0.0000 0.0000 0.0000 x2  4 Ta 2.76
3 Se 0.1452 0.6452 0.5000 x4  6 Ta 2.65-2.73



Version Q
## Ta2ReSe2 (PBE-GGA)

Data for an optimized crystal structure of Ta2ReSe2.

**Magnetic moment**: 0.0 μB/f.u.
**DOS at the Fermi energy**: 1.100 states/eV/atom

a = 3.6412 Å, b = 3.6412 Å, c = 13.7856 Å
α = 90.00°, β = 90.00°, γ = 90.00°
Last column: nearest neighbours and their distance in Å.
Space group I4/mmm (No. 139)
Symmetry-distinct sites (fractional):
1 Ta 0.0000 0.0000 0.1024 x4  4 Se 2.73, 1 Ta 2.82, 4 Re 2.94
2 Re 0.0000 0.0000 0.5000 x2  8 Ta 2.94
3 Se 0.0000 0.5000 0.2500 x4  4 Se 2.57, 4 Ta 2.73



Energies relative to the minimum, eV/atom: version P 0.000; version Q 0.084



Version P
## ReTcSe2 (PBE-GGA)

Data for an optimized crystal structure of ReTcSe2.

**Magnetic moment**: 0.0 μB/f.u.
**DOS at the Fermi energy**: 0.762 states/eV/atom

a = 3.0900 Å, b = 3.0900 Å, c = 28.9665 Å
α = 90.00°, β = 90.00°, γ = 120.00°
Last column: nearest neighbours and their distance in Å.
Space group R3m (No. 160, hexagonal axes)
Symmetry-distinct sites (fractional):
1 Re 0.0000 0.0000 0.0000 x3  3 Se 2.46
2 Tc 0.0000 0.0000 0.7462 x3  3 Se 2.44
3 Se 0.0000 0.0000 0.2748 x3  3 Re 2.46
4 Se 0.0000 0.0000 0.4702 x3  3 Tc 2.44



Version Q
## ReTcSe2 (PBE-GGA)

Data for an optimized crystal structure of ReTcSe2.

**Magnetic moment**: 0.0 μB/f.u.
**DOS at the Fermi energy**: 1.175 states/eV/atom

a = 6.3972 Å, b = 6.3972 Å, c = 6.3972 Å
α = 90.00°, β = 90.00°, γ = 90.00°
Last column: nearest neighbours and their distance in Å.
Space group F-43m (No. 216)
Symmetry-distinct sites (fractional):
1 Re 0.0000 0.0000 0.0000 x4  4 Se 2.77, 4 Tc 2.77
2 Tc 0.2500 0.2500 0.7500 x4  4 Se 2.77, 4 Re 2.77
3 Se 0.0000 0.0000 0.5000 x4  4 Se 2.77, 4 Tc 2.77
4 Se 0.2500 0.2500 0.2500 x4  4 Se 2.77, 4 Re 2.77



Energies relative to the minimum, eV/atom: version P 0.000; version Q 0.890



Version P
## ReTcSe2 (PBE-GGA)

Data for an optimized crystal structure of ReTcSe2.

**Magnetic moment**: 0.0 μB/f.u.
**DOS at the Fermi energy**: 0.888 states/eV/atom

a = 6.2370 Å, b = 6.2370 Å, c = 6.2370 Å
α = 90.00°, β = 90.00°, γ = 90.00°
Last column: nearest neighbours and their distance in Å.
Space group Fm-3m (No. 225)
Symmetry-distinct sites (fractional):
1 Re 0.0000 0.0000 0.0000 x4  8 Se 2.70
2 Tc 0.0000 0.0000 0.5000 x4  8 Se 2.70
3 Se 0.2500 0.2500 0.2500 x8  4 Re 2.70, 4 Tc 2.70



Version Q
## ReTcSe2 (PBE-GGA)

Data for an optimized crystal structure of ReTcSe2.

**Magnetic moment**: 0.0 μB/f.u.
**DOS at the Fermi energy**: 0.858 states/eV/atom

a = 7.9641 Å, b = 3.0496 Å, c = 5.2779 Å
α = 90.00°, β = 102.62°, γ = 90.00°
Last column: nearest neighbours and their distance in Å.
Space group C2/m (No. 12)
Symmetry-distinct sites (fractional):
1 Re 0.0000 0.0000 0.0000 x2  6 Se 2.62
2 Tc 0.0000 0.5000 0.5000 x2  6 Se 2.61-2.63
3 Se 0.2490 0.5000 0.2492 x4  3 Tc 2.61-2.63, 3 Re 2.62



Energies relative to the minimum, eV/atom: version P 0.060; version Q 0.000



Version P
## ReTcSe2 (PBE-GGA)

Data for an optimized crystal structure of ReTcSe2.

**Magnetic moment**: 0.0 μB/f.u.
**DOS at the Fermi energy**: 0.823 states/eV/atom

a = 4.0724 Å, b = 4.0724 Å, c = 7.7543 Å
α = 90.00°, β = 90.00°, γ = 90.00°
Last column: nearest neighbours and their distance in Å.
Space group I-4m2 (No. 119)
Symmetry-distinct sites (fractional):
1 Re 0.0000 0.0000 0.0000 x2  8 Se 2.81-2.88, 4 Tc 2.81
2 Tc 0.0000 0.5000 0.7500 x2  8 Se 2.81-2.88, 4 Re 2.81
3 Se 0.0000 0.0000 0.5000 x2  4 Tc 2.81, 4 Se 2.81, 4 Re 2.88
4 Se 0.0000 0.5000 0.2500 x2  4 Re 2.81, 4 Se 2.81, 4 Tc 2.88



Version Q
## ReTcSe2 (PBE-GGA)

Data for an optimized crystal structure of ReTcSe2.

**Magnetic moment**: 0.0 μB/f.u.
**DOS at the Fermi energy**: 0.697 states/eV/atom

a = 9.0489 Å, b = 3.0525 Å, c = 5.7987 Å
α = 90.00°, β = 97.81°, γ = 90.00°
Last column: nearest neighbours and their distance in Å.
Space group Cm (No. 8)
Symmetry-distinct sites (fractional):
1 Re 0.0000 0.0000 0.0000 x2  5 Se 2.51-2.79, 3 Tc 2.65-2.66
2 Tc 0.2336 0.5000 0.1471 x2  5 Se 2.52-2.79, 3 Re 2.65-2.66
3 Se 0.2682 0.0000 0.8117 x2  2 Tc 2.52, 3 Re 2.70-2.79
4 Se 0.4782 0.0000 0.3374 x2  2 Re 2.51, 3 Tc 2.69-2.79



Energies relative to the minimum, eV/atom: version P 0.419; version Q 0.000



Version P
## ReTcSe4 (PBE-GGA)

Data for an optimized crystal structure of ReTcSe4.

**Magnetic moment**: 0.0 μB/f.u.
**DOS at the Fermi energy**: 0.607 states/eV/atom

a = 14.1338 Å, b = 3.2682 Å, c = 5.9674 Å
α = 90.00°, β = 101.67°, γ = 90.00°
Last column: nearest neighbours and their distance in Å.
Space group Cm (No. 8)
Symmetry-distinct sites (fractional):
1 Re 0.0000 0.0000 0.0000 x2  6 Se 2.45-2.62
2 Tc 0.0056 0.5000 0.3930 x2  6 Se 2.46-2.61
3 Se 0.1020 0.5000 0.8157 x2  2 Re 2.57, 1 Tc 2.61
4 Se 0.1344 0.0000 0.3316 x2  1 Re 2.45, 2 Tc 2.53
5 Se 0.3713 0.0000 0.0581 x2  1 Tc 2.46, 2 Re 2.52
6 Se 0.4031 0.5000 0.5763 x2  2 Tc 2.57, 1 Re 2.62



Version Q
## ReTcSe4 (PBE-GGA)

Data for an optimized crystal structure of ReTcSe4.

**Magnetic moment**: 0.2 μB/f.u.
**DOS at the Fermi energy**: 0.596 states/eV/atom

a = 7.8146 Å, b = 7.8146 Å, c = 7.8146 Å
α = 90.00°, β = 90.00°, γ = 90.00°
Last column: nearest neighbours and their distance in Å.
Space group F-43m (No. 216)
Symmetry-distinct sites (fractional):
1 Re 0.0000 0.0000 0.0000 x4  12 Se 3.24, 4 Tc 3.38
2 Tc 0.2500 0.2500 0.2500 x4  12 Se 3.24, 4 Re 3.38
3 Se 0.1254 0.1254 0.6254 x16  6 Se 2.76-2.77



Energies relative to the minimum, eV/atom: version P 0.000; version Q 1.996



Version P
## ReTe3Se (PBE-GGA)

Data for an optimized crystal structure of ReTe3Se.

**Magnetic moment**: 0.0 μB/f.u.
**DOS at the Fermi energy**: 1.422 states/eV/atom

a = 5.2101 Å, b = 5.2101 Å, c = 5.2101 Å
α = 90.00°, β = 90.00°, γ = 90.00°
Last column: nearest neighbours and their distance in Å.
Space group Pm-3m (No. 221)
Symmetry-distinct sites (fractional):
1 Re 0.0000 0.0000 0.0000 x1  6 Te 2.61
2 Te 0.0000 0.0000 0.5000 x3  2 Re 2.61
3 Se 0.5000 0.5000 0.5000 x1  12 Te 3.68



Version Q
## ReTe3Se (PBE-GGA)

Data for an optimized crystal structure of ReTe3Se.

**Magnetic moment**: 4.5 μB/f.u.
**DOS at the Fermi energy**: 0.806 states/eV/atom

a = 5.4157 Å, b = 5.4157 Å, c = 5.4157 Å
α = 90.00°, β = 90.00°, γ = 90.00°
Last column: nearest neighbours and their distance in Å.
Space group Pm-3m (No. 221)
Symmetry-distinct sites (fractional):
1 Re 0.0000 0.0000 0.0000 x1  12 Te 3.83
2 Te 0.0000 0.5000 0.5000 x3  2 Se 2.71
3 Se 0.5000 0.5000 0.5000 x1  6 Te 2.71



Energies relative to the minimum, eV/atom: version P 0.000; version Q 0.831



Version P
## TiRe3Se (PBE-GGA)

Data for an optimized crystal structure of TiRe3Se.

**Magnetic moment**: 0.0 μB/f.u.
**DOS at the Fermi energy**: 1.159 states/eV/atom

a = 4.5928 Å, b = 4.5928 Å, c = 4.5928 Å
α = 90.00°, β = 90.00°, γ = 90.00°
Last column: nearest neighbours and their distance in Å.
Space group Pm-3m (No. 221)
Symmetry-distinct sites (fractional):
1 Ti 0.0000 0.0000 0.0000 x1  6 Re 2.30
2 Re 0.0000 0.0000 0.5000 x3  2 Ti 2.30
3 Se 0.5000 0.5000 0.5000 x1  12 Re 3.25



Version Q
## TiRe3Se (PBE-GGA)

Data for an optimized crystal structure of TiRe3Se.

**Magnetic moment**: 0.0 μB/f.u.
**DOS at the Fermi energy**: 0.741 states/eV/atom

a = 4.5081 Å, b = 4.5081 Å, c = 4.5081 Å
α = 90.00°, β = 90.00°, γ = 90.00°
Last column: nearest neighbours and their distance in Å.
Space group Pm-3m (No. 221)
Symmetry-distinct sites (fractional):
1 Ti 0.0000 0.0000 0.0000 x1  12 Re 3.19
2 Re 0.0000 0.5000 0.5000 x3  2 Se 2.25
3 Se 0.5000 0.5000 0.5000 x1  6 Re 2.25



Energies relative to the minimum, eV/atom: version P 0.743; version Q 0.000



Version P
## TlRe3Se (PBE-GGA)

Data for an optimized crystal structure of TlRe3Se.

**Magnetic moment**: 1.8 μB/f.u.
**DOS at the Fermi energy**: 0.568 states/eV/atom

a = 4.6029 Å, b = 4.6029 Å, c = 4.6029 Å
α = 90.00°, β = 90.00°, γ = 90.00°
Last column: nearest neighbours and their distance in Å.
Space group Pm-3m (No. 221)
Symmetry-distinct sites (fractional):
1 Tl 0.0000 0.0000 0.0000 x1  12 Re 3.25
2 Re 0.0000 0.5000 0.5000 x3  2 Se 2.30
3 Se 0.5000 0.5000 0.5000 x1  6 Re 2.30



Version Q
## TlRe3Se (PBE-GGA)

Data for an optimized crystal structure of TlRe3Se.

**Magnetic moment**: 3.2 μB/f.u.
**DOS at the Fermi energy**: 1.957 states/eV/atom

a = 4.9731 Å, b = 4.9731 Å, c = 4.9731 Å
α = 90.00°, β = 90.00°, γ = 90.00°
Last column: nearest neighbours and their distance in Å.
Space group Pm-3m (No. 221)
Symmetry-distinct sites (fractional):
1 Tl 0.0000 0.0000 0.0000 x1  6 Re 2.49
2 Re 0.0000 0.0000 0.5000 x3  2 Tl 2.49
3 Se 0.5000 0.5000 0.5000 x1  12 Re 3.52



Energies relative to the minimum, eV/atom: version P 0.000; version Q 1.711



Version P
## TlReSe3 (PBE-GGA)

Data for an optimized crystal structure of TlReSe3.

**Magnetic moment**: 0.0 μB/f.u.
**DOS at the Fermi energy**: 1.052 states/eV/atom

a = 4.9879 Å, b = 4.9879 Å, c = 4.9879 Å
α = 90.00°, β = 90.00°, γ = 90.00°
Last column: nearest neighbours and their distance in Å.
Space group Pm-3m (No. 221)
Symmetry-distinct sites (fractional):
1 Tl 0.0000 0.0000 0.0000 x1  12 Se 3.53
2 Re 0.5000 0.5000 0.5000 x1  6 Se 2.49
3 Se 0.0000 0.5000 0.5000 x3  2 Re 2.49



Version Q
## TlReSe3 (PBE-GGA)

Data for an optimized crystal structure of TlReSe3.

**Magnetic moment**: 0.0 μB/f.u.
**DOS at the Fermi energy**: 0.756 states/eV/atom

a = 9.4774 Å, b = 6.2370 Å, c = 8.8672 Å
α = 90.00°, β = 110.53°, γ = 90.00°
Last column: nearest neighbours and their distance in Å.
Space group P2_1/c (No. 14)
Symmetry-distinct sites (fractional):
1 Tl 0.0495 0.1808 0.1382 x4  4 Se 3.05-3.39, 1 Tl 3.22
2 Re 0.4445 0.7027 0.9043 x4  6 Se 2.42-2.59
3 Se 0.1954 0.6291 0.2156 x4  1 Re 2.59
4 Se 0.2966 0.0688 0.4755 x4  2 Re 2.42-2.45
5 Se 0.4442 0.5651 0.6369 x4  3 Re 2.52-2.57



Energies relative to the minimum, eV/atom: version P 0.339; version Q 0.000